1.
FePRu2 after structural relaxation. Source: Alexandria, functional GGA-PBE.

a b c (Å): 2.826 4.275 8.681
angles (deg): 90.00 90.00 90.00
Space group Immm (No. 71)
Inequivalent atoms, fractional coordinates:
Fe  0.000  0.000  0.000 (multiplicity 2)
P  0.000  0.000  0.500 (multiplicity 2)
Ru  0.000  0.500  0.211 (multiplicity 4)

2.
Ca2FeBiN after structural relaxation. Source: Alexandria, functional GGA-PBE.

a b c (Å): 5.296 5.296 3.683
angles (deg): 90.00 90.00 90.00
Space group P4/mmm (No. 123)
Inequivalent atoms, fractional coordinates:
Ca  0.000  0.500  0.000 (multiplicity 2)
Fe  0.000  0.000  0.500 (multiplicity 1)
Bi  0.500  0.500  0.500 (multiplicity 1)
N  0.000  0.000  0.000 (multiplicity 1)

3.
Cd2AsP after structural relaxation. Source: Alexandria, functional GGA-PBE.

a b c (Å): 4.517 4.517 8.026
angles (deg): 90.00 90.00 90.00
Space group I4/mmm (No. 139)
Inequivalent atoms, fractional coordinates:
Cd  0.000  0.500  0.250 (multiplicity 4)
As  0.000  0.000  0.000 (multiplicity 2)
P  0.000  0.000  0.500 (multiplicity 2)

Output
ΔE to the lowest computed polymorph   0.275 eV/atom

| no. | mass density (g/cm3) | final energy (Ry/atom) |
| --- | --- | --- |
| 1 | 9.15 | -0.6043 |
| 2 | 5.77 | -0.4017 |
| 3 | 6.71 | -0.1926 |